A plane-wave DFT calculation with PBE-GGA was carried out for a relaxed structure of CePr2SmPt2.

```
CePr2SmPt2
1.0
6.9441 0.0000 0.0000
0.0000 6.9989 0.0000
-3.4720 -3.4995 7.1317
Ce Pr Sm Pt
2 4 2 4
Direct
0.2500 0.0000 0.0000
0.7500 0.0000 0.0000
0.6920 0.9748 0.3840
0.1920 0.4091 0.3840
0.8080 0.5909 0.6160
0.3080 0.0252 0.6160
0.7500 0.5000 0.0000
0.2500 0.5000 0.0000
0.3907 0.6547 0.7814
0.6093 0.3453 0.2186
0.1093 0.8733 0.2186
0.8907 0.1267 0.7814
```

Properties
**Total magnetic moment**: 1.03 Bohr magnetons per cell
**Calculated formation energy**: -0.721 eV/atom

=====

A plane-wave DFT calculation with PBE-GGA was carried out for a relaxed structure of CePrSnPt.

```
CePrSnPt
1.0
-4.0295 -1.2291 0.7013
1.0369 -1.1239 3.9876
-2.5694 10.4919 3.6252
Ce Pr Sn Pt
2 2 2 2
Direct
0.0000 0.0000 0.5000
0.5000 0.5000 0.5000
0.0000 0.5000 0.7742
0.5000 0.0000 0.2258
0.5000 0.0000 0.9428
0.0000 0.5000 0.0572
0.0000 0.5000 0.3026
0.5000 0.0000 0.6974
```

Properties
**Total magnetic moment**: 0.00 Bohr magnetons per cell
**Calculated formation energy**: -0.672 eV/atom

=====

A plane-wave DFT calculation with PBE-GGA was carried out for a relaxed structure of CePr2Sn3Pt4.

```
CePr2Sn3Pt4
1.0
4.6554 0.0000 0.0000
0.0000 4.6554 0.0000
0.0000 0.0000 11.1367
Ce Pr Sn Pt
1 2 3 4
Direct
0.5000 0.5000 0.5000
0.5000 0.0000 0.2130
0.0000 0.5000 0.7870
0.0000 0.0000 0.5000
0.5000 0.0000 0.8760
0.0000 0.5000 0.1240
0.5000 0.5000 0.0000
0.0000 0.0000 0.0000
0.5000 0.0000 0.6414
0.0000 0.5000 0.3586
```

Properties
**Total magnetic moment**: 0.49 Bohr magnetons per cell
**Calculated formation energy**: -0.875 eV/atom

=====

A plane-wave DFT calculation with PBE-GGA was carried out for a relaxed structure of TbCePr2Pt2.

```
TbCePr2Pt2
1.0
6.8799 0.0000 0.0000
0.0000 6.9177 0.0000
-3.4400 -3.4589 7.1307
Tb Ce Pr Pt
2 2 4 4
Direct
0.7500 0.5000 0.0000
0.2500 0.5000 0.0000
0.2500 0.0000 0.0000
0.7500 0.0000 0.0000
0.6910 0.9597 0.3820
0.1910 0.4223 0.3820
0.8090 0.5777 0.6180
0.3090 0.0403 0.6180
0.3907 0.6465 0.7814
0.6093 0.3535 0.2186
0.1093 0.8651 0.2186
0.8907 0.1349 0.7814
```

Properties
**Total magnetic moment**: 0.92 Bohr magnetons per cell
**Calculated formation energy**: -0.751 eV/atom